Entry 1:
TbYMn4: optimized geometry, PBE-GGA.

**Space group**: F-43m (216)
**E_form**: 16.4 kJ/mol of atoms

a b c (Å): 5.1151 5.1151 5.1151
angles (deg): 60.00 60.00 60.00
With the nearest neighbours (Å) after each atom.
Fractional coordinates of all 6 atoms:
Y 0.0000 0.0000 0.0000  12 Mn 3.00, 4 Tb 3.13
Mn 0.6249 0.6249 0.1253  6 Mn 2.56
Mn 0.1253 0.6249 0.6249  6 Mn 2.56
Mn 0.6249 0.1253 0.6249  6 Mn 2.56
Mn 0.6249 0.6249 0.6249  6 Mn 2.56
Tb 0.2500 0.2500 0.2500  12 Mn 3.00, 4 Y 3.13


Entry 2:
La2Nd5HoTm: optimized geometry, PBE-GGA.

**Space group**: Cmc2_1 (36)
**E_form**: 11.9 kJ/mol of atoms

a b c (Å): 5.7296 10.6000 10.8342
angles (deg): 90.00 90.00 105.68
With the nearest neighbours (Å) after each atom.
Fractional coordinates of all 18 atoms:
La 0.1140 0.2280 0.7354  1 Tm 3.45, 7 Nd 3.53-3.72, 2 Ho 3.82
La 0.8831 0.7662 0.8148  8 Nd 3.28-3.63
La 0.1169 0.2338 0.3148  8 Nd 3.28-3.63
La 0.8860 0.7720 0.2354  1 Tm 3.45, 7 Nd 3.53-3.72, 2 Ho 3.82
Ho 0.5936 0.1872 0.9653  6 Nd 3.11-3.44
Ho 0.4064 0.8128 0.4653  6 Nd 3.11-3.44
Nd 0.9847 0.9693 0.5188  2 Ho 3.33, 3 La 3.49-3.67
Nd 0.7225 0.4451 0.8126  1 Ho 3.11, 1 La 3.28, 2 Nd 3.43
Nd 0.0153 0.0307 0.0188  2 Ho 3.33, 3 La 3.49-3.67
Nd 0.7053 0.4106 0.2030  2 Nd 3.43, 1 Ho 3.44, 2 Tm 3.55, 3 La 3.60-3.70
Nd 0.6180 0.2360 0.5203  4 La 3.63-3.69, 6 Nd 3.64-3.95, 1 Tm 3.73
Nd 0.3820 0.7640 0.0203  4 La 3.63-3.69, 6 Nd 3.64-3.95, 1 Tm 3.73
Nd 0.2947 0.5894 0.7030  2 Nd 3.43, 1 Ho 3.44, 2 Tm 3.55, 3 La 3.60-3.70
Nd 0.2775 0.5549 0.3126  1 Ho 3.11, 1 La 3.28, 2 Nd 3.43
Nd 0.5167 0.0335 0.2435  2 Ho 3.29-3.40, 2 La 3.60, 2 Nd 3.64-3.66
Nd 0.4833 0.9665 0.7435  2 Ho 3.29-3.40, 2 La 3.60, 2 Nd 3.64-3.66
Tm 0.8007 0.6014 0.5102  2 La 3.45-3.70, 8 Nd 3.55-3.86, 2 Ho 3.62
Tm 0.1993 0.3986 0.0102  2 La 3.45-3.70, 8 Nd 3.55-3.86, 2 Ho 3.62